# 1
{"formula": "TlCdSe", "functional": "GGA-PBE", "state": "optimized geometry", "lattice": [[-4.0892, -4.3870, -4.2464], [5.3713, -4.9978, -0.4127], [-1.9273, -8.0978, 3.4660]], "species": ["Se", "Cd", "Cd", "Tl", "Se", "Cd", "Tl", "Se", "Se", "Tl", "Cd", "Tl"], "fractional_positions": [[0.1883, 0.9248, 0.2048], [0.8897, 0.5835, 0.0693], [0.9813, 0.9146, 0.5566], [0.7923, 0.5448, 0.4706], [0.1981, 0.6796, 0.7204], [0.9146, 0.9813, 0.0566], [0.5448, 0.7923, 0.9706], [0.9248, 0.1883, 0.7048], [0.6796, 0.1981, 0.2204], [0.3269, 0.4892, 0.4603], [0.5835, 0.8897, 0.5693], [0.4892, 0.3269, 0.9603]], "magnetic_moment_mub_per_atom": 0.00, "raw_formation_energy_ev_per_atom": -0.26, "dft_energy_ev_per_cell": -30.15, "de_polymorph_kcal_per_mol_atoms": 0.49, "space_group": "No. 9"}



# 2
{"formula": "As2SeF", "functional": "GGA-PBE", "state": "optimized geometry", "lattice": [[-2.6808, 0.4994, -6.5302], [-6.1291, -2.6780, 2.3113], [-5.3674, 1.6344, -1.5060]], "species": ["F", "As", "As", "Se", "Se", "As", "F", "As"], "fractional_positions": [[0.2500, 0.7500, 0.5000], [0.1315, 0.6250, 0.2500], [0.8750, 0.8685, 0.7500], [0.0000, 0.0000, 0.0000], [0.7500, 0.2500, 0.5000], [0.3750, 0.3815, 0.7500], [0.5000, 0.5000, 0.0000], [0.6185, 0.1250, 0.2500]], "magnetic_moment_mub_per_atom": 0.00, "raw_formation_energy_ev_per_atom": -0.21, "dft_energy_ev_per_cell": -31.01, "de_polymorph_kcal_per_mol_atoms": 0.00, "space_group": "No. 122"}



# 3
{"formula": "Tm2PaP3Rh12", "functional": "GGA-PBE", "state": "optimized geometry", "lattice": [[-5.3728, 3.8781, 0.9816], [-3.5664, -2.1314, -5.2543], [-3.7256, -4.5084, 3.2656]], "species": ["P", "Tm", "Rh", "Pa", "P", "Rh", "Rh", "Rh", "Rh", "P", "Tm", "Rh", "Rh", "Rh", "Rh", "Rh", "Rh", "Rh"], "fractional_positions": [[0.5000, 0.0000, 0.0000], [0.6228, 0.6228, 0.6228], [0.6331, 0.6331, 0.0892], [0.0000, 0.0000, 0.0000], [0.0000, 0.5000, 0.0000], [0.1793, 0.1793, 0.6639], [0.6639, 0.1793, 0.1793], [0.0892, 0.6331, 0.6331], [0.3669, 0.9108, 0.3669], [0.0000, 0.0000, 0.5000], [0.3772, 0.3772, 0.3772], [0.8207, 0.8207, 0.3361], [0.1793, 0.6639, 0.1793], [0.3669, 0.3669, 0.9108], [0.3361, 0.8207, 0.8207], [0.8207, 0.3361, 0.8207], [0.6331, 0.0892, 0.6331], [0.9108, 0.3669, 0.3669]], "magnetic_moment_mub_per_atom": 0.00, "ef_kj_per_mol_fu": -852, "dft_energy_ev_per_cell": -131.71, "space_group": "No. 166"}



# 4
{"formula": "Sr2Zn2Tc", "functional": "GGA-PBE", "state": "optimized geometry", "lattice": [[-2.4070, 1.1725, 6.5436], [-0.9981, -6.9441, 0.8771], [4.6574, -0.4430, 1.7926]], "species": ["Sr", "Zn", "Zn", "Sr", "Sr", "Zn", "Zn", "Tc", "Sr", "Tc"], "fractional_positions": [[0.3183, 0.1817, 0.5000], [0.8576, 0.6424, 0.0000], [0.3576, 0.8576, 0.0000], [0.1817, 0.6817, 0.5000], [0.8183, 0.3183, 0.5000], [0.6424, 0.1424, 0.0000], [0.1424, 0.3576, 0.0000], [0.5000, 0.5000, 0.0000], [0.6817, 0.8183, 0.5000], [0.0000, 0.0000, 0.0000]], "magnetic_moment_mub_per_atom": 0.19, "ef_kj_per_mol_fu": 150, "dft_energy_ev_per_cell": -29.45, "de_polymorph_kcal_per_mol_atoms": 0.00, "space_group": "No. 127"}



# 5
{"formula": "Li3In4Pd", "functional": "GGA-PBE", "state": "optimized geometry", "lattice": [[-2.2519, 1.4220, 2.2041], [-2.5804, -0.6795, -2.1980], [-1.7245, -11.2683, 5.5080]], "species": ["In", "Pd", "In", "In", "Li", "In", "Li", "Li"], "fractional_positions": [[0.0000, 0.0000, 0.6250], [0.5000, 0.5000, 0.0000], [0.0000, 0.0000, 0.1215], [0.0000, 0.0000, 0.8785], [0.5000, 0.5000, 0.7513], [0.0000, 0.0000, 0.3750], [0.5000, 0.5000, 0.5000], [0.5000, 0.5000, 0.2487]], "magnetic_moment_mub_per_atom": 0.00, "ef_kj_per_mol_fu": -263, "dft_energy_ev_per_cell": -24.62, "space_group": "No. 123"}



# 6
{"formula": "Sr5BiSb2P", "functional": "GGA-PBE", "state": "optimized geometry", "lattice": [[5.4970, 0.0000, 0.0000], [0.0000, 7.9875, 0.0000], [-2.7485, -3.9938, 8.1476]], "species": ["Sb", "Sr", "Sb", "Sr", "Sr", "P", "Sr", "Sr", "Bi"], "fractional_positions": [[0.7993, 0.7993, 0.5985], [0.0000, 0.0000, 0.0000], [0.2007, 0.2007, 0.4015], [0.3623, 0.6147, 0.7247], [0.6377, 0.3853, 0.2753], [0.5000, 0.0000, 0.0000], [0.3623, 0.1099, 0.7247], [0.6377, 0.8901, 0.2753], [0.0000, 0.5000, 0.0000]], "magnetic_moment_mub_per_atom": 0.06, "raw_formation_energy_ev_per_atom": -0.81, "dft_energy_ev_per_cell": -33.23, "space_group": "No. 71"}



# 7
{"formula": "CePmTe", "functional": "GGA-PBE", "state": "optimized geometry", "lattice": [[-2.1268, 2.4894, -2.9278], [-3.7785, -1.9653, 1.0737], [1.5398, 5.8578, 7.1570]], "species": ["Pm", "Ce", "Te", "Ce", "Pm", "Te"], "fractional_positions": [[0.8206, 0.8206, 0.6413], [0.5000, 0.0000, 0.0000], [0.6383, 0.6383, 0.2767], [0.0000, 0.5000, 0.0000], [0.1794, 0.1794, 0.3587], [0.3617, 0.3617, 0.7233]], "magnetic_moment_mub_per_atom": 0.15, "raw_formation_energy_ev_per_atom": -0.96, "dft_energy_ev_per_cell": -33.42, "de_polymorph_kcal_per_mol_atoms": 0.00, "space_group": "No. 139"}



# 8
{"formula": "La2Sm6Dy", "functional": "GGA-PBE", "state": "optimized geometry", "lattice": [[5.9502, 1.0030, 1.8106], [4.0169, 6.9939, 1.1734], [-0.1982, -0.3019, 8.1547]], "species": ["Sm", "Sm", "Sm", "Sm", "La", "Sm", "Sm", "La", "Dy"], "fractional_positions": [[0.9993, 0.1683, 0.8329], [0.3332, 0.9465, 0.3897], [0.6668, 0.0535, 0.6103], [0.0007, 0.8317, 0.1671], [0.3342, 0.6103, 0.7209], [0.3351, 0.2759, 0.0560], [0.6649, 0.7241, 0.9440], [0.6658, 0.3897, 0.2791], [0.0000, 0.5000, 0.5000]], "magnetic_moment_mub_per_atom": 0.00, "ef_kj_per_mol_fu": 17, "dft_energy_ev_per_cell": -42.59, "de_polymorph_kcal_per_mol_atoms": 0.00, "space_group": "No. 2"}



# 9
{"formula": "Tl8Sb3Se8", "functional": "GGA-PBE", "state": "optimized geometry", "lattice": [[4.9579, 0.0000, -1.4064], [-0.6270, 10.3153, -2.2103], [0.9332, 0.6876, 12.7316]], "species": ["Se", "Tl", "Se", "Tl", "Tl", "Tl", "Tl", "Se", "Se", "Tl", "Tl", "Se", "Tl", "Sb", "Se", "Sb", "Sb", "Se", "Se"], "fractional_positions": [[0.1838, 0.5436, 0.3676], [0.5815, 0.0212, 0.1631], [0.3190, 0.1137, 0.6380], [0.6238, 0.6276, 0.2476], [0.3762, 0.3724, 0.7524], [0.7541, 0.1471, 0.5083], [0.2459, 0.8529, 0.4917], [0.4985, 0.2283, 0.9969], [0.6810, 0.8863, 0.3620], [0.4185, 0.9788, 0.8369], [0.0505, 0.3584, 0.1011], [0.8720, 0.8312, 0.7440], [0.9495, 0.6416, 0.8989], [0.5000, 0.5000, 0.0000], [0.1280, 0.1688, 0.2560], [0.2175, 0.3268, 0.4349], [0.7825, 0.6732, 0.5651], [0.5015, 0.7717, 0.0031], [0.8162, 0.4564, 0.6324]], "magnetic_moment_mub_per_atom": 0.00, "raw_formation_energy_ev_per_atom": -0.17, "dft_energy_ev_per_cell": -62.34, "space_group": "No. 12"}



# 10
{"formula": "RuRhAu", "functional": "GGA-PBE", "state": "optimized geometry", "lattice": [[7.5686, -0.0135, 0.0083], [6.8304, 2.6350, 0.0099], [0.7381, -1.1872, 2.3675]], "species": ["Au", "Rh", "Ru"], "fractional_positions": [[0.0002, 0.0002, 0.9998], [0.3260, 0.3260, 0.6740], [0.6738, 0.6738, 0.3262]], "magnetic_moment_mub_per_atom": 0.42, "ef_kj_per_mol_fu": 110, "dft_energy_ev_per_cell": -18.76, "de_polymorph_kcal_per_mol_atoms": 4.73, "space_group": "No. 42"}